# SrTcSe3

Crystalline SrTcSe3 at its relaxed geometry (PBE-GGA, the Alexandria database).

Calculated values
Total moment   3.02 μB/f.u.
Space group   Pm-3m (221)
Crystal system   cubic
Theoretical density   3.87 g/cm³
Relative energy among the computed polymorphs   7.29 eV/f.u.

a b c (Å): 5.6580 5.6580 5.6580
angles (deg): 90.00 90.00 90.00
With the nearest neighbours (Å) after each atom.
Fractional positions:
Sr: 0.0000 0.0000 0.0000  6 Se 2.83
Tc: 0.5000 0.5000 0.5000  12 Se 4.00
Se: 0.0000 0.5000 0.0000  2 Sr 2.83
Se: 0.0000 0.0000 0.5000  2 Sr 2.83
Se: 0.5000 0.0000 0.0000  2 Sr 2.83


# TbNd3Th2Sb6

Crystalline TbNd3Th2Sb6 at its relaxed geometry (PBE-GGA, the Alexandria database).

Calculated values
Total moment   0.00 μB/f.u.
Space group   C2/m (12)
Final energy   -5.98 eV/atom
Crystal system   monoclinic
Theoretical density   7.67 g/cm³

a b c (Å): 4.5046 8.9948 10.0669
angles (deg): 103.06 102.93 90.00
With the nearest neighbours (Å) after each atom.
Fractional positions:
Tb: 0.5000 0.0000 0.0000  6 Sb 3.14-3.15
Nd: 0.5000 0.5000 0.0000  6 Sb 3.20-3.22
Nd: 0.8332 0.1658 0.6664  6 Sb 3.18-3.22
Nd: 0.1668 0.8342 0.3336  6 Sb 3.18-3.22
Th: 0.8351 0.6692 0.6703  6 Sb 3.15-3.20
Th: 0.1649 0.3308 0.3297  6 Sb 3.15-3.20
Sb: 0.3355 0.9172 0.6710  1 Tb 3.14, 2 Th 3.17, 3 Nd 3.18-3.22
Sb: 0.6675 0.5826 0.3350  3 Th 3.19-3.20, 3 Nd 3.20
Sb: 0.6645 0.0828 0.3290  1 Tb 3.14, 2 Th 3.17, 3 Nd 3.18-3.22
Sb: 0.9997 0.2446 0.9993  2 Tb 3.15, 1 Th 3.15, 3 Nd 3.18-3.22
Sb: 0.0003 0.7554 0.0007  2 Tb 3.15, 1 Th 3.15, 3 Nd 3.18-3.22
Sb: 0.3325 0.4174 0.6650  3 Th 3.19-3.20, 3 Nd 3.20


# Ac2CePr3S6

Crystalline Ac2CePr3S6 at its relaxed geometry (PBE-GGA, the Alexandria database).

Calculated values
Total moment   1.11 μB/f.u.
Space group   C2/m (12)
Final energy   -6.45 eV/atom
Crystal system   monoclinic
Theoretical density   6.55 g/cm³

a b c (Å): 4.1513 8.3637 9.3043
angles (deg): 102.86 102.89 90.00
With the nearest neighbours (Å) after each atom.
Fractional positions:
Ac: 0.8355 0.6691 0.6710  6 S 2.97-3.01
Ac: 0.1645 0.3309 0.3290  6 S 2.97-3.01
Ce: 0.5000 0.0000 0.0000  6 S 2.91-2.93
Pr: 0.5000 0.5000 0.0000  6 S 2.91-2.97
Pr: 0.8325 0.1633 0.6650  6 S 2.89-2.96
Pr: 0.1675 0.8367 0.3350  6 S 2.89-2.96
S: 0.3352 0.9248 0.6704  3 Pr 2.89-2.96, 1 Ce 2.91, 2 Ac 2.98
S: 0.6649 0.5909 0.3298  3 Pr 2.91, 3 Ac 3.01
S: 0.6648 0.0752 0.3296  3 Pr 2.89-2.96, 1 Ce 2.91, 2 Ac 2.98
S: 0.9961 0.2444 0.9922  3 Pr 2.89-2.97, 2 Ce 2.93, 1 Ac 2.97
S: 0.0039 0.7556 0.0078  3 Pr 2.89-2.97, 2 Ce 2.93, 1 Ac 2.97
S: 0.3351 0.4091 0.6702  3 Pr 2.91, 3 Ac 3.01


# Hg2SI

Crystalline Hg2SI at its relaxed geometry (PBE-GGA, the Alexandria database).

Calculated values
Total moment   0.00 μB/f.u.
Space group   P1 (1)
Crystal system   triclinic
Theoretical density   6.67 g/cm³
Relative energy among the computed polymorphs   0.00 eV/f.u.

a b c (Å): 4.3088 6.0041 11.6637
angles (deg): 109.41 100.86 89.79
With the nearest neighbours (Å) after each atom.
Fractional positions:
Hg: 0.6165 0.5670 0.1964  3 S 2.49-2.62
Hg: 0.9736 0.5354 0.8456  1 Hg 2.83
Hg: 0.2343 0.1260 0.4362  1 S 2.48, 1 I 2.75
Hg: 0.0294 0.9882 0.0295  3 S 2.54-2.71, 1 Hg 2.83
S: 0.1289 0.8281 0.2241  4 Hg 2.48-2.71
S: 0.5204 0.2011 0.0109  3 Hg 2.49-2.56
I: 0.3659 0.1348 0.6779  1 Hg 2.75
I: 0.7389 0.4862 0.4432  3 Hg 3.03-3.04


# Ta2InPt

Crystalline Ta2InPt at its relaxed geometry (PBE-GGA, the Alexandria database).

Calculated values
Total moment   0.00 μB/f.u.
Space group   Pmmm (47)
DFT formation energy   -0.156 eV/atom
Crystal system   orthorhombic
Theoretical density   15.58 g/cm³

a b c (Å): 4.2921 2.9011 6.4363
angles (deg): 63.27 90.00 90.00
With the nearest neighbours (Å) after each atom.
Fractional positions:
In: 0.5000 0.2500 0.2500  2 Pt 2.87, 2 In 2.90, 8 Ta 2.98-2.99
Pt: 0.5000 0.7500 0.7500  2 In 2.87, 2 Pt 2.90, 8 Ta 2.94
Ta: 0.0000 0.0062 0.9922  4 Ta 2.79-2.96, 4 Pt 2.94, 4 In 2.98-2.99
Ta: 0.0000 0.4938 0.5078  4 Ta 2.79-2.96, 4 Pt 2.94, 4 In 2.98-2.99


# BeRhSe2

Crystalline BeRhSe2 at its relaxed geometry (PBE-GGA, the Alexandria database).

Calculated values
Total moment   0.00 μB/f.u.
Space group   I-4m2 (119)
Final energy   -4.28 eV/atom
Crystal system   tetragonal
Theoretical density   5.00 g/cm³

a b c (Å): 8.1221 8.1221 8.1221
angles (deg): 155.85 155.85 34.42
With the nearest neighbours (Å) after each atom.
Fractional positions:
Be: 0.5000 0.5000 0.0000  4 Se 2.40
Rh: 0.7500 0.2500 0.5000  4 Se 2.40
Se: 0.0000 0.0000 0.0000  4 Be 2.40
Se: 0.2500 0.7500 0.5000  4 Rh 2.40


# Rb2CdIBr3

Crystalline Rb2CdIBr3 at its relaxed geometry (PBE-GGA, the Alexandria database).

Calculated values
Total moment   0.00 μB/f.u.
Space group   Immm (71)
Final energy   -2.61 eV/atom
Crystal system   orthorhombic
Theoretical density   3.72 g/cm³

a b c (Å): 5.9294 5.6998 9.5230
angles (deg): 107.41 108.14 90.00
With the nearest neighbours (Å) after each atom.
Fractional positions:
Rb: 0.6412 0.6412 0.2825  1 Br 3.40, 2 I 3.74
Rb: 0.3588 0.3588 0.7175  1 Br 3.40, 2 I 3.74
Cd: 0.0000 0.0000 0.0000  4 Br 2.76-2.85, 2 I 2.96
I: 0.5000 0.0000 0.0000  2 Cd 2.96
Br: 0.0000 0.5000 0.0000  2 Cd 2.85
Br: 0.1608 0.1608 0.3217  1 Cd 2.76
Br: 0.8392 0.8392 0.6783  1 Cd 2.76


# FeTeBr2

Crystalline FeTeBr2 at its relaxed geometry (PBE-GGA, the Alexandria database).

Calculated values
Total moment   4.00 μB/f.u.
Space group   P4/mmm (123)
Final energy   -3.68 eV/atom
Crystal system   tetragonal
Theoretical density   4.88 g/cm³

a b c (Å): 3.2010 3.2010 11.3914
angles (deg): 90.00 90.00 90.00
With the nearest neighbours (Å) after each atom.
Fractional positions:
Br: 0.0000 0.0000 0.1081  4 Fe 2.78
Br: 0.0000 0.0000 0.3919  4 Fe 2.78
Fe: 0.5000 0.5000 0.2500  8 Br 2.78
Te: 0.5000 0.5000 0.7500  4 Te 3.20


# Pm2Cd2Pd

Crystalline Pm2Cd2Pd at its relaxed geometry (PBE-GGA, the Alexandria database).

Calculated values
Total moment   0.00 μB/f.u.
Space group   I4_1/amd (141)
DFT formation energy   -0.380 eV/atom
Crystal system   tetragonal
Theoretical density   7.55 g/cm³

a b c (Å): 4.7503 4.7503 12.5657
angles (deg): 100.90 100.90 90.00
With the nearest neighbours (Å) after each atom.
Fractional positions:
Pm: 0.8145 0.8145 0.6291  2 Pd 2.84
Pm: 0.5645 0.0645 0.1291  2 Pd 2.84
Pm: 0.9355 0.4355 0.8709  2 Pd 2.84
Pm: 0.1855 0.1855 0.3709  2 Pd 2.84
Cd: 0.4215 0.9215 0.8431  2 Pd 3.04, 2 Cd 3.27, 4 Pm 3.38
Cd: 0.6715 0.6715 0.3431  2 Pd 3.04, 2 Cd 3.27, 4 Pm 3.38
Cd: 0.3285 0.3285 0.6569  2 Pd 3.04, 2 Cd 3.27, 4 Pm 3.38
Cd: 0.0785 0.5785 0.1569  2 Pd 3.04, 2 Cd 3.27, 4 Pm 3.38
Pd: 0.5000 0.5000 0.0000  4 Pm 2.84, 4 Cd 3.04
Pd: 0.2500 0.7500 0.5000  4 Pm 2.84, 4 Cd 3.04


# Dy6Te3As2Pb

Crystalline Dy6Te3As2Pb at its relaxed geometry (PBE-GGA, the Alexandria database).

Calculated values
Total moment   0.00 μB/f.u.
Space group   C2/m (12)
Final energy   -5.46 eV/atom
Crystal system   monoclinic
Theoretical density   8.43 g/cm³

a b c (Å): 4.2701 8.6740 9.6402
angles (deg): 103.63 102.80 90.00
With the nearest neighbours (Å) after each atom.
Fractional positions:
Dy: 0.3329 0.8914 0.6658  2 As 2.91, 1 Pb 3.05, 3 Te 3.08-3.20
Dy: 0.6747 0.5676 0.3494  3 As 2.87-2.91, 3 Te 3.18-3.19
Dy: 0.6671 0.1086 0.3342  2 As 2.91, 1 Pb 3.05, 3 Te 3.08-3.20
Dy: 0.0092 0.2506 0.0185  1 As 2.90, 2 Pb 3.02, 3 Te 3.07-3.17
Dy: 0.9908 0.7494 0.9815  1 As 2.90, 2 Pb 3.02, 3 Te 3.07-3.17
Dy: 0.3253 0.4324 0.6506  3 As 2.87-2.91, 3 Te 3.18-3.19
Te: 0.5000 0.5000 0.0000  6 Dy 3.07-3.19
Te: 0.8355 0.1674 0.6710  6 Dy 3.08-3.20
Te: 0.1645 0.8326 0.3290  6 Dy 3.08-3.20
As: 0.8317 0.6629 0.6635  6 Dy 2.87-2.91
As: 0.1683 0.3371 0.3365  6 Dy 2.87-2.91
Pb: 0.5000 0.0000 0.0000  6 Dy 3.02-3.05


# Al2Ag

Crystalline Al2Ag at its relaxed geometry (PBE-GGA, the Alexandria database).

Calculated values
Total moment   0.00 μB/f.u.
Space group   Pmmn (59)
DFT formation energy   -0.030 eV/atom
Crystal system   orthorhombic
Theoretical density   5.34 g/cm³

a b c (Å): 2.9763 8.3816 4.0365
angles (deg): 90.00 90.00 90.00
With the nearest neighbours (Å) after each atom.
Fractional positions:
Ag: 0.0000 0.9883 0.0000  6 Al 2.75-2.87, 6 Ag 2.97-2.98
Ag: 0.5000 0.1784 0.5000  6 Al 2.75-2.87, 6 Ag 2.97-2.98
Al: 0.0000 0.3308 0.0000  7 Al 2.77-2.98, 5 Ag 2.81-2.87
Al: 0.5000 0.5059 0.5000  1 Ag 2.75, 11 Al 2.77-2.98
Al: 0.0000 0.6607 0.0000  1 Ag 2.75, 11 Al 2.77-2.98
Al: 0.5000 0.8358 0.5000  7 Al 2.77-2.98, 5 Ag 2.81-2.87


# Sm5CuSe4

Crystalline Sm5CuSe4 at its relaxed geometry (PBE-GGA, the Alexandria database).

Calculated values
Total moment   0.00 μB/f.u.
Space group   I4/m (87)
Final energy   -5.67 eV/atom
Crystal system   tetragonal
Theoretical density   7.34 g/cm³

a b c (Å): 5.9207 7.2090 7.2090
angles (deg): 80.29 65.75 65.75
With the nearest neighbours (Å) after each atom.
Fractional positions:
Sm: 0.9011 0.3940 0.8055  1 Cu 2.89, 5 Se 2.94-2.97
Sm: 0.2951 0.8055 0.6060  1 Cu 2.89, 5 Se 2.94-2.97
Sm: 0.7067 0.1945 0.3940  1 Cu 2.89, 5 Se 2.94-2.97
Sm: 0.1006 0.6060 0.1945  1 Cu 2.89, 5 Se 2.94-2.97
Sm: 0.5013 0.0000 0.0000  4 Se 2.95, 2 Cu 2.96
Cu: 0.0016 0.0000 0.0000  6 Sm 2.89-2.96
Se: 0.4047 0.3992 0.7933  6 Sm 2.94-2.97
Se: 0.8039 0.7933 0.6008  6 Sm 2.94-2.97
Se: 0.1980 0.2067 0.3992  6 Sm 2.94-2.97
Se: 0.5972 0.6008 0.2067  6 Sm 2.94-2.97